This record from Alexandria describes a relaxed InBiTe3 crystal. The functional is PBE.

a = 4.297 Å, b = 8.977 Å, c = 14.062 Å
α = 90.00°, β = 90.00°, γ = 90.00°
Space group Amm2 (No. 38)
Inequivalent atoms, fractional coordinates:
In 0.000 0.000 0.000 x2
Bi 0.500 0.000 0.370 x2
Te 0.000 0.000 0.227 x2
Te 0.500 0.221 0.003 x4

Properties
raw formation energy = -0.010 eV per atom
ΔE to the lowest computed polymorph = 194 meV per atom
N(E_F) = 4.7 states/eV per cell
spin magnetization = 0.00 μB per cell


This record from Alexandria describes a relaxed In2Bi2Te crystal. The functional is PBE.

a = 8.723 Å, b = 8.723 Å, c = 4.157 Å
α = 90.00°, β = 90.00°, γ = 90.00°
Space group P4/mbm (No. 127)
Inequivalent atoms, fractional coordinates:
In 0.136 0.364 0.000 x4
Bi 0.167 0.667 0.500 x4
Te 0.000 0.000 0.500 x2

Properties
raw formation energy = 0.052 eV per atom
ΔE to the lowest computed polymorph = 0 meV per atom
N(E_F) = 4.8 states/eV per cell
spin magnetization = 0.00 μB per cell